# 1
## EuHoEr2 (PBE)

Data for a geometry-optimized EuHoEr2 structure.

POSCAR file:
```
EuHoEr2
1.0
3.573 0.000 0.000
0.000 3.573 0.000
0.000 0.000 10.254
Ho Eu Er
1 1 2
Direct
0.500 0.500 0.000
0.500 0.500 0.500
0.000 0.000 0.766
0.000 0.000 0.234
```

Properties
Energy relative to the elements = 0.262 eV per formula unit

=====

# 2
## TePb2N2 (PBE)

Data for a geometry-optimized TePb2N2 structure.

POSCAR file:
```
TePb2N2
1.0
3.881 0.000 0.000
0.000 3.881 0.000
1.941 1.941 7.267
Pb N Te
2 2 1
Direct
0.342 0.342 0.317
0.658 0.658 0.683
0.250 0.750 0.500
0.750 0.250 0.500
0.000 0.000 0.000
```

Properties
VASP energy = -4.477 eV/atom

=====

# 3
## Pr2Nd3Tl (PBE)

Data for a geometry-optimized Pr2Nd3Tl structure.

POSCAR file:
```
Pr2Nd3Tl
1.0
6.977 0.000 0.000
0.000 6.668 0.090
-3.488 -1.600 8.697
Pr Nd Tl
4 6 2
Direct
0.237 0.425 0.677
0.440 0.925 0.677
0.560 0.075 0.323
0.763 0.575 0.323
0.232 0.750 0.000
0.052 0.040 0.331
0.768 0.250 0.000
0.278 0.540 0.331
0.948 0.960 0.669
0.722 0.460 0.669
0.726 0.750 0.000
0.274 0.250 0.000
```

Properties
Energy relative to the elements = -0.422 eV per formula unit